# SmGdTc, relaxed, DFT PBE
# energy: -9.70 eV per atom
# energy of formation from the pure elements: 0.024 eV per atom
# N(E_F): 3.8 states/eV/f.u.
data_SmGdTc
_cell_length_a 3.492
_cell_length_b 3.492
_cell_length_c 12.872
_cell_angle_alpha 90.00
_cell_angle_beta 90.00
_cell_angle_gamma 90.00
_symmetry_space_group_name_H-M 'I 4 m m'
_symmetry_Int_Tables_number 107
_symmetry_space_group_name_Hall 'I 4 -2'
loop_
_atom_site_label
_atom_site_type_symbol
_atom_site_fract_x
_atom_site_fract_y
_atom_site_fract_z
Sm1 Sm 0.000 0.000 0.000
Gd1 Gd 0.000 0.000 0.742
Tc1 Tc 0.000 0.000 0.369